(1)
This record from Alexandria describes crystalline LaMg3Cd2 at its relaxed geometry. The functional is PBE.

Raw total energy = -38.1 eV per cell
Symmetry = P6/mmm
DOS(E_F) = 12.3 states/eV/cell
Total magnetic moment = 0.000 μB per atom

a = 10.496 Å, b = 10.496 Å, c = 4.810 Å
α = 90.00°, β = 90.00°, γ = 120.00°
Fractional positions:
La (0.000, 0.000, 0.000)
La (0.333, 0.667, 0.500)
La (0.667, 0.333, 0.500)
Mg (0.000, 0.297, 0.500)
Mg (0.000, 0.500, 0.000)
Mg (0.000, 0.703, 0.500)
Mg (0.297, 0.000, 0.500)
Mg (0.297, 0.297, 0.500)
Mg (0.500, 0.000, 0.000)
Mg (0.500, 0.500, 0.000)
Mg (0.703, 0.000, 0.500)
Mg (0.703, 0.703, 0.500)
Cd (0.190, 0.379, 0.000)
Cd (0.190, 0.810, 0.000)
Cd (0.379, 0.190, 0.000)
Cd (0.621, 0.810, 0.000)
Cd (0.810, 0.190, 0.000)
Cd (0.810, 0.621, 0.000)



(2)
This record from Alexandria describes crystalline La6Mg2Cd at its relaxed geometry. The functional is PBE.

Raw total energy = -34.6 eV per cell
Symmetry = Fmmm
DOS(E_F) = 9.9 states/eV/cell
Total magnetic moment = 0.167 μB per atom

a = 10.534 Å, b = 8.779 Å, c = 7.023 Å
α = 82.82°, β = 55.77°, γ = 41.41°
Fractional positions:
La (0.151, 0.849, 0.151)
La (0.179, 0.490, 0.510)
La (0.490, 0.179, 0.821)
La (0.510, 0.821, 0.179)
La (0.821, 0.510, 0.490)
La (0.849, 0.151, 0.849)
Mg (0.171, 0.171, 0.829)
Mg (0.829, 0.829, 0.171)
Cd (0.500, 0.500, 0.500)



(3)
This record from Alexandria describes crystalline LaMg5Cd7 at its relaxed geometry. The functional is PBE.

Raw total energy = -21.7 eV per cell
Symmetry = Imm2
DOS(E_F) = 3.5 states/eV/cell
Total magnetic moment = 0.000 μB per atom

a = 7.658 Å, b = 7.658 Å, c = 7.658 Å
α = 133.46°, β = 98.46°, γ = 99.50°
Fractional positions:
La (0.000, 0.000, 0.000)
Mg (0.002, 0.501, 0.005)
Mg (0.002, 0.997, 0.501)
Mg (0.495, 0.501, 0.499)
Mg (0.495, 0.997, 0.995)
Mg (0.778, 0.278, 0.500)
Cd (0.208, 0.496, 0.712)
Cd (0.214, 0.714, 0.500)
Cd (0.350, 0.001, 0.349)
Cd (0.350, 0.350, 0.000)
Cd (0.652, 0.001, 0.651)
Cd (0.655, 0.655, 0.000)
Cd (0.783, 0.496, 0.288)



(4)
This record from Alexandria describes crystalline LaMg3Cd4 at its relaxed geometry. The functional is PBE.

Raw total energy = -29.9 eV per cell
Symmetry = Pmma
DOS(E_F) = 9.0 states/eV/cell
Total magnetic moment = 0.000 μB per atom

a = 9.911 Å, b = 7.835 Å, c = 4.955 Å
α = 90.00°, β = 90.00°, γ = 90.00°
Fractional positions:
La (0.000, 0.000, 0.000)
La (0.500, 0.000, 0.000)
Mg (0.000, 0.500, 0.000)
Mg (0.250, 0.000, 0.500)
Mg (0.250, 0.500, 0.499)
Mg (0.500, 0.500, 0.000)
Mg (0.750, 0.000, 0.500)
Mg (0.750, 0.500, 0.501)
Cd (0.000, 0.273, 0.500)
Cd (0.000, 0.727, 0.500)
Cd (0.250, 0.273, 0.999)
Cd (0.250, 0.727, 0.999)
Cd (0.500, 0.273, 0.500)
Cd (0.500, 0.727, 0.500)
Cd (0.750, 0.273, 0.001)
Cd (0.750, 0.727, 0.001)



(5)
This record from Alexandria describes crystalline La5MgCd6 at its relaxed geometry. The functional is PBE.

Raw total energy = -35.4 eV per cell
Symmetry = Immm
DOS(E_F) = 11.7 states/eV/cell
Total magnetic moment = 0.049 μB per atom

a = 9.460 Å, b = 9.460 Å, c = 9.460 Å
α = 146.99°, β = 130.57°, γ = 60.73°
Fractional positions:
La (0.000, 0.000, 0.000)
La (0.169, 0.669, 0.500)
La (0.329, 0.329, 0.000)
La (0.671, 0.671, 0.000)
La (0.831, 0.331, 0.500)
Mg (0.500, 0.000, 0.500)
Cd (0.111, 0.845, 0.266)
Cd (0.272, 0.500, 0.772)
Cd (0.420, 0.155, 0.266)
Cd (0.580, 0.845, 0.734)
Cd (0.728, 0.500, 0.228)
Cd (0.889, 0.155, 0.734)



(6)
This record from Alexandria describes crystalline LaMgCd2 at its relaxed geometry. The functional is PBE.

Raw total energy = -9.2 eV per cell
Symmetry = Pm
DOS(E_F) = 2.7 states/eV/cell
Total magnetic moment = 0.050 μB per atom

a = 3.372 Å, b = 4.908 Å, c = 6.597 Å
α = 90.00°, β = 104.57°, γ = 90.00°
Fractional positions:
La (0.000, 0.000, 0.000)
Mg (0.672, 0.500, 0.341)
Cd (0.261, 0.000, 0.515)
Cd (0.389, 0.500, 0.775)



(7)
This record from Alexandria describes crystalline LaMg4Cd4 at its relaxed geometry. The functional is PBE.

Raw total energy = -32.2 eV per cell
Symmetry = P4_2/nmc
DOS(E_F) = 11.4 states/eV/cell
Total magnetic moment = 0.000 μB per atom

a = 6.680 Å, b = 6.680 Å, c = 9.986 Å
α = 90.00°, β = 90.00°, γ = 90.00°
Fractional positions:
La (0.250, 0.750, 0.250)
La (0.750, 0.250, 0.750)
Mg (0.027, 0.250, 0.167)
Mg (0.250, 0.027, 0.667)
Mg (0.250, 0.473, 0.667)
Mg (0.473, 0.250, 0.167)
Mg (0.527, 0.750, 0.833)
Mg (0.750, 0.527, 0.333)
Mg (0.750, 0.973, 0.333)
Mg (0.973, 0.750, 0.833)
Cd (0.027, 0.250, 0.460)
Cd (0.250, 0.027, 0.960)
Cd (0.250, 0.473, 0.960)
Cd (0.473, 0.250, 0.460)
Cd (0.527, 0.750, 0.540)
Cd (0.750, 0.527, 0.040)
Cd (0.750, 0.973, 0.040)
Cd (0.973, 0.750, 0.540)



(8)
This record from Alexandria describes crystalline La3MgCd2 at its relaxed geometry. The functional is PBE.

Raw total energy = -19.7 eV per cell
Symmetry = P4/mmm
DOS(E_F) = 8.3 states/eV/cell
Total magnetic moment = 0.083 μB per atom

a = 3.953 Å, b = 3.953 Å, c = 11.785 Å
α = 90.00°, β = 90.00°, γ = 90.00°
Fractional positions:
La (0.000, 0.000, 0.000)
La (0.000, 0.000, 0.333)
La (0.000, 0.000, 0.667)
Mg (0.500, 0.500, 0.500)
Cd (0.500, 0.500, 0.170)
Cd (0.500, 0.500, 0.830)



(9)
This record from Alexandria describes crystalline LaMgCd2 at its relaxed geometry. The functional is PBE.

Raw total energy = -9.3 eV per cell
Symmetry = P4/mmm
DOS(E_F) = 2.4 states/eV/cell
Total magnetic moment = 0.043 μB per atom

a = 3.475 Å, b = 3.475 Å, c = 8.395 Å
α = 90.00°, β = 90.00°, γ = 90.00°
Fractional positions:
La (0.000, 0.000, 0.000)
Mg (0.000, 0.000, 0.500)
Cd (0.500, 0.500, 0.282)
Cd (0.500, 0.500, 0.718)



(10)
This record from Alexandria describes crystalline La3Mg2Cd7 at its relaxed geometry. The functional is PBE.

Raw total energy = -27.8 eV per cell
Symmetry = R-3m
DOS(E_F) = 8.6 states/eV/cell
Total magnetic moment = 0.000 μB per atom

a = 10.228 Å, b = 10.228 Å, c = 10.228 Å
α = 34.61°, β = 34.61°, γ = 34.61°
Fractional positions:
La (0.000, 0.000, 0.000)
La (0.141, 0.141, 0.141)
La (0.859, 0.859, 0.859)
Mg (0.334, 0.334, 0.334)
Mg (0.666, 0.666, 0.666)
Cd (0.077, 0.585, 0.585)
Cd (0.415, 0.415, 0.923)
Cd (0.415, 0.923, 0.415)
Cd (0.500, 0.500, 0.500)
Cd (0.585, 0.077, 0.585)
Cd (0.585, 0.585, 0.077)
Cd (0.923, 0.415, 0.415)



(11)
This record from Alexandria describes crystalline LaMg6Cd12 at its relaxed geometry. The functional is PBE.

Raw total energy = -25.8 eV per cell
Symmetry = R-3m
DOS(E_F) = 9.1 states/eV/cell
Total magnetic moment = 0.000 μB per atom

a = 8.091 Å, b = 8.091 Å, c = 8.091 Å
α = 104.14°, β = 104.14°, γ = 104.14°
Fractional positions:
La (0.000, 0.000, 0.000)
Mg (0.295, 0.703, 0.703)
Mg (0.297, 0.297, 0.705)
Mg (0.297, 0.705, 0.297)
Mg (0.703, 0.295, 0.703)
Mg (0.703, 0.703, 0.295)
Mg (0.705, 0.297, 0.297)
Cd (0.111, 0.500, 0.889)
Cd (0.111, 0.889, 0.500)
Cd (0.121, 0.369, 0.369)
Cd (0.369, 0.121, 0.369)
Cd (0.369, 0.369, 0.121)
Cd (0.500, 0.111, 0.889)
Cd (0.500, 0.889, 0.111)
Cd (0.631, 0.631, 0.879)
Cd (0.631, 0.879, 0.631)
Cd (0.879, 0.631, 0.631)
Cd (0.889, 0.111, 0.500)
Cd (0.889, 0.500, 0.111)



(12)
This record from Alexandria describes crystalline La9MgCd2 at its relaxed geometry. The functional is PBE.

Raw total energy = -48.9 eV per cell
Symmetry = P4/mmm
DOS(E_F) = 21.0 states/eV/cell
Total magnetic moment = 0.000 μB per atom

a = 5.091 Å, b = 5.091 Å, c = 15.283 Å
α = 90.00°, β = 90.00°, γ = 90.00°
Fractional positions:
La (0.000, 0.000, 0.000)
La (0.000, 0.000, 0.334)
La (0.000, 0.000, 0.666)
La (0.000, 0.500, 0.169)
La (0.000, 0.500, 0.500)
La (0.000, 0.500, 0.831)
La (0.500, 0.000, 0.169)
La (0.500, 0.000, 0.500)
La (0.500, 0.000, 0.831)
Mg (0.500, 0.500, 0.000)
Cd (0.500, 0.500, 0.335)
Cd (0.500, 0.500, 0.665)



> The lowest raw total energy belongs to which entry?

La9MgCd2